The following is a PBE-GGA calculation of an optimized crystal structure of BeIn2Pb, from Alexandria.

Values from the calculation:
DFT formation energy	0.488	eV/atom
polymorph energy (0 for the lowest one)	171	meV/atom
density of states at the Fermi level	0.396	states/eV per atom
total energy	-2.74	eV per atom
space group	No. 216

Geometry as POSCAR:
```
BeIn2Pb
1.0
0.0000 3.6652 3.6652
3.6652 0.0000 3.6652
3.6652 3.6652 0.0000
Be In Pb
1 2 1
direct
0.0000 0.0000 0.0000 Be
0.2500 0.2500 0.2500 In
0.5000 0.5000 0.5000 In
0.7500 0.7500 0.7500 Pb
```